1.
# AlCu2PbS4 | Alexandria | PBE-GGA | relaxed
data_AlCu2PbS4
_chemical_formula_sum 'Al2 Cu4 Pb2 S8'
_cell_length_a 5.794
_cell_length_b 5.794
_cell_length_c 10.236
_cell_angle_alpha 90.00
_cell_angle_beta 90.00
_cell_angle_gamma 90.00
_symmetry_space_group_name_H-M 'I -4 2 m'
_symmetry_Int_Tables_number 121
_symmetry_space_group_name_Hall 'I -4 2'
loop_
_atom_site_label
_atom_site_type_symbol
_atom_site_fract_x
_atom_site_fract_y
_atom_site_fract_z
Al1 Al 0.000 0.000 0.000
Cu1 Cu 0.000 0.500 0.250
Pb1 Pb 0.000 0.000 0.500
S1 S 0.213 0.213 0.142
# * size of the total moment: 0.000 μB/cell
# * formation energy without anion corrections: -0.52 eV/atom
# * D(E_F): 4.5 states/eV/f.u.

=====

2.
# Sr3RhCl3 | Alexandria | PBE-GGA | relaxed
data_Sr3RhCl3
_chemical_formula_sum 'Sr24 Rh8 Cl24'
_cell_length_a 12.129
_cell_length_b 12.129
_cell_length_c 12.129
_cell_angle_alpha 90.00
_cell_angle_beta 90.00
_cell_angle_gamma 90.00
_symmetry_space_group_name_H-M 'I 41 3 2'
_symmetry_Int_Tables_number 214
_symmetry_space_group_name_Hall 'I 4bd 2c 3'
loop_
_atom_site_label
_atom_site_type_symbol
_atom_site_fract_x
_atom_site_fract_y
_atom_site_fract_z
Sr1 Sr 0.121 0.371 0.125
Rh1 Rh 0.125 0.125 0.125
Cl1 Cl 0.121 0.375 0.371
# * size of the total moment: 0.000 μB/cell
# * formation energy without anion corrections: -1.62 eV/atom